1.
Crystalline AlSb2Cl at its relaxed geometry, computed with GGA-PBEsol.

Results
* energy above the lowest structure with this stoichiometry: 0 meV/atom
* ΔE_f (raw): -0.106 eV per atom
* spin magnetization: 0.000 μB per atom
* E: -0.1437 Ha/atom

abc: 3.462 3.462 7.638
angles: 90.00 90.00 90.00
Positions (direct):
Al: 0.000 0.000 0.000
Sb: 0.500 0.500 0.211
Sb: 0.500 0.500 0.789
Cl: 0.000 0.000 0.500

2.
Crystalline Al4SbCl at its relaxed geometry, computed with GGA-PBEsol.

Results
* ΔE_f (raw): 0.132 eV per atom
* spin magnetization: 0.000 μB per atom
* E: -0.1356 Ha/atom

abc: 5.542 5.542 5.542
angles: 60.00 60.00 60.00
Positions (direct):
Al: 0.125 0.125 0.125
Al: 0.125 0.125 0.625
Al: 0.125 0.625 0.125
Al: 0.625 0.125 0.125
Sb: 0.500 0.500 0.500
Cl: 0.750 0.750 0.750

3.
Crystalline AlSb2Cl at its relaxed geometry, computed with GGA-PBEsol.

Results
* energy above the lowest structure with this stoichiometry: 76 meV/atom
* ΔE_f (raw): -0.030 eV per atom
* spin magnetization: 0.000 μB per atom
* E: -0.1409 Ha/atom

abc: 7.150 7.150 7.150
angles: 90.00 90.00 90.00
Positions (direct):
Al: 0.000 0.000 0.000
Al: 0.000 0.500 0.500
Al: 0.500 0.000 0.500
Al: 0.500 0.500 0.000
Sb: 0.000 0.000 0.500
Sb: 0.000 0.500 0.000
Sb: 0.250 0.250 0.250
Sb: 0.250 0.750 0.750
Sb: 0.500 0.000 0.000
Sb: 0.500 0.500 0.500
Sb: 0.750 0.250 0.750
Sb: 0.750 0.750 0.250
Cl: 0.250 0.250 0.750
Cl: 0.250 0.750 0.250
Cl: 0.750 0.250 0.250
Cl: 0.750 0.750 0.750

4.
Crystalline AlSb5Se5Cl4 at its relaxed geometry, computed with GGA-PBEsol.

Results
* ΔE_f (raw): -0.602 eV per atom
* spin magnetization: 0.000 μB per atom
* E: -0.1548 Ha/atom

abc: 9.372 9.579 11.555
angles: 103.83 110.03 100.48
Positions (direct):
Al: 0.070 0.375 0.198
Al: 0.930 0.625 0.802
Sb: 0.079 0.964 0.681
Sb: 0.221 0.760 0.563
Sb: 0.288 0.377 0.908
Sb: 0.421 0.868 0.176
Sb: 0.436 0.188 0.583
Sb: 0.564 0.812 0.417
Sb: 0.579 0.132 0.824
Sb: 0.712 0.623 0.092
Sb: 0.779 0.240 0.437
Sb: 0.921 0.036 0.319
Se: 0.152 0.192 0.605
Se: 0.280 0.917 0.419
Se: 0.348 0.110 0.906
Se: 0.486 0.521 0.157
Se: 0.494 0.158 0.265
Se: 0.506 0.842 0.735
Se: 0.514 0.479 0.843
Se: 0.652 0.890 0.094
Se: 0.720 0.083 0.581
Se: 0.848 0.808 0.395
Cl: 0.090 0.208 0.048
Cl: 0.121 0.591 0.175
Cl: 0.172 0.681 0.817
Cl: 0.224 0.382 0.387
Cl: 0.776 0.618 0.613
Cl: 0.828 0.319 0.183
Cl: 0.879 0.409 0.825
Cl: 0.910 0.792 0.952

5.
Crystalline Y2AlSbCl at its relaxed geometry, computed with GGA-PBEsol.

Results
* ΔE_f (raw): -0.227 eV per atom
* spin magnetization: 0.000 μB per atom
* E: -0.1870 Ha/atom

abc: 5.552 5.552 4.566
angles: 90.00 90.00 90.00
Positions (direct):
Y: 0.000 0.500 0.000
Y: 0.500 0.000 0.000
Al: 0.000 0.000 0.000
Sb: 0.500 0.500 0.500
Cl: 0.000 0.000 0.500

6.
Crystalline ScAl3Cl at its relaxed geometry, computed with GGA-PBEsol.

Results
* ΔE_f (raw): 0.357 eV per atom
* spin magnetization: 0.000 μB per atom
* E: -0.1404 Ha/atom

abc: 4.742 4.742 4.742
angles: 90.00 90.00 90.00
Positions (direct):
Sc: 0.000 0.000 0.000
Al: 0.000 0.500 0.500
Al: 0.500 0.000 0.500
Al: 0.500 0.500 0.000
Cl: 0.500 0.500 0.500

7.
Crystalline Sc3AlCl at its relaxed geometry, computed with GGA-PBEsol.

Results
* ΔE_f (raw): -0.500 eV per atom
* spin magnetization: 0.000 μB per atom
* E: -0.2088 Ha/atom

abc: 4.682 4.682 4.682
angles: 90.00 90.00 90.00
Positions (direct):
Sc: 0.000 0.000 0.500
Sc: 0.000 0.500 0.000
Sc: 0.500 0.000 0.000
Al: 0.500 0.500 0.500
Cl: 0.000 0.000 0.000

8.
Crystalline AlSeCl at its relaxed geometry, computed with GGA-PBEsol.

Results
* ΔE_f (raw): -0.527 eV per atom
* spin magnetization: 0.000 μB per atom
* E: -0.1413 Ha/atom

abc: 6.265 6.265 6.265
angles: 90.00 90.00 90.00
Positions (direct):
Al: 0.000 0.000 0.000
Al: 0.000 0.500 0.500
Al: 0.500 0.000 0.500
Al: 0.500 0.500 0.000
Se: 0.250 0.250 0.750
Se: 0.250 0.750 0.250
Se: 0.750 0.250 0.250
Se: 0.750 0.750 0.750
Cl: 0.250 0.250 0.250
Cl: 0.250 0.750 0.750
Cl: 0.750 0.250 0.750
Cl: 0.750 0.750 0.250

9.
Crystalline AlSe2Cl2 at its relaxed geometry, computed with GGA-PBEsol.

Results
* ΔE_f (raw): -0.176 eV per atom
* spin magnetization: 0.000 μB per atom
* E: -0.1227 Ha/atom

abc: 3.540 3.540 19.793
angles: 90.00 90.00 90.00
Positions (direct):
Al: 0.000 0.000 0.000
Al: 0.500 0.500 0.500
Se: 0.000 0.500 0.250
Se: 0.000 0.500 0.750
Se: 0.500 0.000 0.250
Se: 0.500 0.000 0.750
Cl: 0.000 0.000 0.426
Cl: 0.000 0.000 0.574
Cl: 0.500 0.500 0.074
Cl: 0.500 0.500 0.926

10.
Crystalline AlSe2Cl4 at its relaxed geometry, computed with GGA-PBEsol.

Results
* ΔE_f (raw): -0.940 eV per atom
* spin magnetization: 0.000 μB per atom
* E: -0.1386 Ha/atom

abc: 13.287 13.530 9.180
angles: 90.00 90.00 90.00
Positions (direct):
Al: 0.107 0.165 0.000
Al: 0.156 0.381 0.500
Al: 0.344 0.881 0.500
Al: 0.393 0.665 0.000
Al: 0.607 0.335 0.000
Al: 0.656 0.119 0.500
Al: 0.844 0.619 0.500
Al: 0.893 0.835 0.000
Se: 0.000 0.000 0.321
Se: 0.000 0.000 0.679
Se: 0.000 0.500 0.179
Se: 0.000 0.500 0.821
Se: 0.016 0.121 0.500
Se: 0.120 0.472 0.000
Se: 0.380 0.972 0.000
Se: 0.484 0.621 0.500
Se: 0.500 0.000 0.179
Se: 0.500 0.000 0.821
Se: 0.500 0.500 0.321
Se: 0.500 0.500 0.679
Se: 0.516 0.379 0.500
Se: 0.620 0.028 0.000
Se: 0.880 0.528 0.000
Se: 0.984 0.879 0.500
Cl: 0.004 0.634 0.500
Cl: 0.014 0.202 0.187
Cl: 0.014 0.202 0.813
Cl: 0.135 0.009 0.000
Cl: 0.204 0.467 0.313
Cl: 0.204 0.467 0.687
Cl: 0.230 0.241 0.500
Cl: 0.241 0.249 0.000
Cl: 0.259 0.749 0.000
Cl: 0.270 0.741 0.500
Cl: 0.296 0.967 0.313
Cl: 0.296 0.967 0.687
Cl: 0.365 0.509 0.000
Cl: 0.486 0.702 0.187
Cl: 0.486 0.702 0.813
Cl: 0.496 0.134 0.500
Cl: 0.504 0.866 0.500
Cl: 0.514 0.298 0.187
Cl: 0.514 0.298 0.813
Cl: 0.635 0.491 0.000
Cl: 0.704 0.033 0.313
Cl: 0.704 0.033 0.687
Cl: 0.730 0.259 0.500
Cl: 0.741 0.251 0.000
Cl: 0.759 0.751 0.000
Cl: 0.770 0.759 0.500
Cl: 0.796 0.533 0.313
Cl: 0.796 0.533 0.687
Cl: 0.865 0.991 0.000
Cl: 0.986 0.798 0.187
Cl: 0.986 0.798 0.813
Cl: 0.996 0.366 0.500

11.
Crystalline AlSe2Cl at its relaxed geometry, computed with GGA-PBEsol.

Results
* energy above the lowest structure with this stoichiometry: 0 meV/atom
* ΔE_f (raw): -0.505 eV per atom
* spin magnetization: 0.000 μB per atom
* E: -0.1454 Ha/atom

abc: 5.304 3.272 5.766
angles: 90.00 103.95 90.00
Positions (direct):
Al: 0.000 0.000 0.000
Se: 0.334 0.500 0.936
Se: 0.593 0.000 0.700
Cl: 0.950 0.500 0.275

12.
Crystalline AlSe2Cl at its relaxed geometry, computed with GGA-PBEsol.

Results
* energy above the lowest structure with this stoichiometry: 336 meV/atom
* ΔE_f (raw): -0.169 eV per atom
* spin magnetization: 0.000 μB per atom
* E: -0.1330 Ha/atom

abc: 3.386 3.386 6.801
angles: 90.00 90.00 90.00
Positions (direct):
Al: 0.000 0.000 0.000
Se: 0.500 0.500 0.191
Se: 0.500 0.500 0.809
Cl: 0.000 0.000 0.500